An optimized crystal structure of Ca2Al9Pt3. Source: Alexandria, functional PBE. Values from VASP.

The structure in Quantum ESPRESSO input format:
```
&SYSTEM
  ibrav = 0, nat = 28, ntyp = 3
/
ATOMIC_SPECIES
Ca 40.08 Ca.upf
Al 26.98 Al.upf
Pt 195.08 Pt.upf
CELL_PARAMETERS angstrom
6.626 -3.813 0.000
6.626 3.813 0.000
-4.416 0.000 9.544
ATOMIC_POSITIONS angstrom
Ca 1.127 0.636 2.382
Ca -1.081 -0.636 7.153
Ca 9.917 0.636 2.390
Ca 7.709 -0.636 7.162
Al 5.517 3.180 0.726
Al 5.527 3.180 4.046
Al 1.109 0.636 5.478
Al 4.154 1.398 2.402
Al 1.105 0.644 8.968
Al 3.317 -0.636 0.706
Al 3.314 0.954 7.158
Al 6.890 1.398 2.370
Al 3.313 -0.644 4.197
Al 5.523 0.644 5.347
Al 1.946 -1.398 7.173
Al 5.522 -0.954 2.386
Al 5.519 0.636 8.837
Al 7.731 -0.644 0.575
Al 4.682 -1.398 7.142
Al 7.727 -0.636 4.066
Al 3.309 -3.180 5.498
Al 3.319 -3.180 8.818
Pt 3.313 1.906 0.000
Pt 3.289 1.952 4.768
Pt 7.754 1.952 0.004
Pt 1.105 -1.906 4.772
Pt 1.082 -1.952 9.540
Pt 5.546 -1.952 4.775
```

Output
The total DFT energy (no corrections) is -134.3 eV/cell. The energy relative to the elements is -0.81 eV/atom.